# 1
# FeAs4Ru, optimized geometry, DFT GGA-PBE
# energy of formation from the pure elements: 918 meV/atom
data_FeAs4Ru
_space_group_name_H-M_alt 'F -4 3 m'
_space_group_IT_number 216
_space_group_name_Hall 'F -4 2 3'
_cell_length_a 7.556
_cell_length_b 7.556
_cell_length_c 7.556
_cell_angle_alpha 90.00
_cell_angle_beta 90.00
_cell_angle_gamma 90.00
loop_
_atom_site_label
_atom_site_fract_x
_atom_site_fract_y
_atom_site_fract_z
Fe1 0.000 0.000 0.000
As1 0.125 0.125 0.625
Ru1 0.250 0.250 0.250

***

# 2
# FeAs2Ru, optimized geometry, DFT GGA-PBE
# energy of formation from the pure elements: 212 meV/atom
data_FeAs2Ru
_space_group_name_H-M_alt 'I -4 2 d'
_space_group_IT_number 122
_space_group_name_Hall 'I -4 2bw'
_cell_length_a 5.367
_cell_length_b 5.367
_cell_length_c 10.678
_cell_angle_alpha 90.00
_cell_angle_beta 90.00
_cell_angle_gamma 90.00
loop_
_atom_site_label
_atom_site_fract_x
_atom_site_fract_y
_atom_site_fract_z
Fe1 0.000 0.000 0.000
As1 0.232 0.250 0.125
Ru1 0.000 0.000 0.500

***

# 3
# FeAsRu2, optimized geometry, DFT GGA-PBE
# energy of formation from the pure elements: 99 meV/atom
data_FeAsRu2
_space_group_name_H-M_alt 'A m m 2'
_space_group_IT_number 38
_space_group_name_Hall 'A 2 -2'
_cell_length_a 3.865
_cell_length_b 2.786
_cell_length_c 10.265
_cell_angle_alpha 90.00
_cell_angle_beta 90.00
_cell_angle_gamma 90.00
loop_
_atom_site_label
_atom_site_fract_x
_atom_site_fract_y
_atom_site_fract_z
Fe1 0.000 0.000 0.000
As1 0.500 0.000 0.401
Ru1 0.000 0.000 0.254
Ru2 0.500 0.000 0.635

***

no.,calculated total energy (eV per atom)
1,-5.14
2,-6.55
3,-7.82